## SrSiBr2 (PBE-GGA)

Data for an optimized crystal structure of SrSiBr2. Values from VASP.

Its total magnetic moment is 0.0 μB/f.u. The value obtained for the mass density is 3.55 g cm⁻³. The energy relative to the elements, uncorrected is -0.6373 eV/atom.

Quantum ESPRESSO input file:
```
&SYSTEM
  ibrav = 0, nat = 4, ntyp = 3
/
ATOMIC_SPECIES
Sr 87.62 Sr.upf
Si 28.09 Si.upf
Br 79.90 Br.upf
CELL_PARAMETERS angstrom
3.564 -4.245 0.000
3.564 4.245 0.000
-3.540 0.000 4.265
ATOMIC_POSITIONS crystal
Sr 0.000 0.000 0.000
Si 0.500 0.500 0.000
Br 0.000 0.500 0.500
Br 0.500 0.000 0.500
```



## SrSiBr2 (PBE-GGA)

Data for an optimized crystal structure of SrSiBr2. Values from VASP.

Its total magnetic moment is 0.0 μB/f.u. The value obtained for the mass density is 3.59 g cm⁻³. The energy relative to the elements, uncorrected is -0.6243 eV/atom.

Quantum ESPRESSO input file:
```
&SYSTEM
  ibrav = 0, nat = 4, ntyp = 3
/
ATOMIC_SPECIES
Sr 87.62 Sr.upf
Si 28.09 Si.upf
Br 79.90 Br.upf
CELL_PARAMETERS angstrom
5.353 0.000 0.000
0.000 4.452 0.000
-0.715 0.000 5.351
ATOMIC_POSITIONS crystal
Sr 0.000 0.000 0.000
Si 0.500 0.000 0.500
Br 0.267 0.500 0.733
Br 0.733 0.500 0.267
```